No. 1
# CeZr3

An optimized crystal structure of CeZr3 (GGA-PBE, Alexandria).

Results
- E_tot (eV/atom) = -7.81
- calculated formation energy (eV per atom) = 0.09
- theoretical density (g/cm3) = 7.1
- offset from the most stable computed form (meV/atom) = 0

Structure (POSCAR):
```
CeZr3
1.0
-1.5550 1.5935 -2.2331
1.7356 -3.4598 -3.6775
-4.6558 -3.2878 0.8959
Zr Ce
3 1
Direct
0.5000 0.0000 0.5376 Zr
0.0000 0.0000 0.0262 Zr
0.5000 0.5000 0.8030 Zr
0.0000 0.5000 0.2998 Ce
```

---

No. 2
# Sc6Ga2Rh

An optimized crystal structure of Sc6Ga2Rh (GGA-PBE, Alexandria).

Results
- E_tot (eV/atom) = -6.08
- calculated formation energy (eV per atom) = -0.37
- theoretical density (g/cm3) = 4.1

Structure (POSCAR):
```
Sc6Ga2Rh
1.0
-4.3708 -1.2915 -0.5409
1.9888 -6.0206 -1.6948
0.9480 1.7243 7.6952
Sc Rh Ga
6 1 2
Direct
0.5000 0.7603 0.0000 Sc
0.1606 0.4051 0.3213 Sc
0.5000 0.2397 0.0000 Sc
0.8394 0.5949 0.6787 Sc
0.8394 0.0839 0.6787 Sc
0.1606 0.9161 0.3213 Sc
0.0000 0.0000 0.0000 Rh
0.3322 0.3321 0.6641 Ga
0.6678 0.6679 0.3359 Ga
```

---

No. 3
# TmBiSb2

An optimized crystal structure of TmBiSb2 (GGA-PBE, Alexandria).

Results
- E_tot (eV/atom) = -4.55
- formation energy (no corrections) (eV per atom) = -0.402
- theoretical density (g/cm3) = 8.3
- offset from the most stable computed form (meV/atom) = 0

Structure (POSCAR):
```
TmBiSb2
1.0
4.4307 0.0000 0.0000
2.2154 3.8371 0.0000
2.2154 1.2790 7.3167
Bi Sb Tm
1 2 1
Direct
0.0000 0.0000 0.0000 Bi
0.7530 0.7530 0.7409 Sb
0.2470 0.2470 0.2591 Sb
0.5000 0.5000 0.5000 Tm
```

---

No. 4
# Ho4TmPb2

An optimized crystal structure of Ho4TmPb2 (GGA-PBE, Alexandria).

Results
- E_tot (eV/atom) = -3.85
- calculated formation energy (eV per atom) = 0.46
- theoretical density (g/cm3) = 8.8

Structure (POSCAR):
```
Ho4TmPb2
1.0
5.3371 0.0000 0.0000
0.0000 5.3371 0.0000
-2.6685 -2.6685 8.2664
Ho Pb Tm
4 2 1
Direct
0.5000 0.0000 0.0000 Ho
0.0000 0.5000 0.0000 Ho
0.1828 0.1828 0.3655 Ho
0.8172 0.8172 0.6345 Ho
0.6308 0.6308 0.2615 Pb
0.3692 0.3692 0.7385 Pb
0.0000 0.0000 0.0000 Tm
```

---

No. 5
# Nd5Dy2Th

An optimized crystal structure of Nd5Dy2Th (GGA-PBE, Alexandria).

Results
- E_tot (eV/atom) = -5.03
- calculated formation energy (eV per atom) = 0.03
- theoretical density (g/cm3) = 7.8

Structure (POSCAR):
```
Nd5Dy2Th
1.0
5.1443 0.0000 0.0000
0.0000 7.2575 0.0000
0.0000 0.0000 14.5200
Dy Nd Th
4 10 2
Direct
0.5000 0.2401 0.6220 Dy
0.5000 0.7599 0.3780 Dy
0.5000 0.7401 0.8780 Dy
0.5000 0.2599 0.1220 Dy
0.0000 0.9936 0.7483 Nd
0.5000 0.7525 0.6229 Nd
0.0000 0.4936 0.7517 Nd
0.0000 0.0064 0.2517 Nd
0.0000 0.0000 0.0000 Nd
0.0000 0.5064 0.2483 Nd
0.0000 0.5000 0.5000 Nd
0.5000 0.7475 0.1229 Nd
0.5000 0.2475 0.3771 Nd
0.5000 0.2525 0.8771 Nd
0.0000 0.5000 0.0000 Th
0.0000 0.0000 0.5000 Th
```

---

No. 6
# CrAuI4

An optimized crystal structure of CrAuI4 (GGA-PBE, Alexandria).

Results
- E_tot (eV/atom) = -3.45
- formation energy (no corrections) (eV per atom) = -0.268
- theoretical density (g/cm3) = 4.7

Structure (POSCAR):
```
CrAuI4
1.0
-3.7170 2.4578 5.4187
7.5534 -7.4608 -1.1540
5.2089 9.4483 -0.3944
I Au Cr
8 2 2
Direct
0.0971 0.1541 0.9077 I
0.2790 0.3577 0.2969 I
0.5179 0.9392 0.2969 I
0.9029 0.8459 0.0923 I
0.4821 0.0608 0.7031 I
0.3106 0.7536 0.9077 I
0.6894 0.2464 0.0923 I
0.7210 0.6423 0.7031 I
0.3943 0.6443 0.2887 Au
0.6057 0.3557 0.7113 Au
0.7991 0.0491 0.0983 Cr
0.2009 0.9509 0.9017 Cr
```

---

No. 7
# CrIn3Ru

An optimized crystal structure of CrIn3Ru (GGA-PBE, Alexandria).

Results
- E_tot (eV/atom) = -4.90
- calculated formation energy (eV per atom) = 0.52
- theoretical density (g/cm3) = 6.1
- offset from the most stable computed form (meV/atom) = 0

Structure (POSCAR):
```
CrIn3Ru
1.0
5.1285 0.0000 0.0000
0.0000 5.1285 0.0000
0.0000 0.0000 5.1285
In Cr Ru
3 1 1
Direct
0.0000 0.0000 0.5000 In
0.5000 0.0000 0.0000 In
0.0000 0.5000 0.0000 In
0.5000 0.5000 0.5000 Cr
0.0000 0.0000 0.0000 Ru
```

---

No. 8
# Cd7InHg12

An optimized crystal structure of Cd7InHg12 (GGA-PBE, Alexandria).

Results
- E_tot (eV/atom) = -0.60
- calculated formation energy (eV per atom) = 0.04
- theoretical density (g/cm3) = 10.3
- offset from the most stable computed form (meV/atom) = 0

Structure (POSCAR):
```
Cd7InHg12
1.0
-9.0342 -2.5657 -4.5885
8.3482 -5.7455 -2.5594
-0.5508 3.3065 9.9004
Cd Hg In
7 12 1
Direct
0.1398 0.0787 0.3777 Cd
0.3777 0.1398 0.0787 Cd
0.6223 0.8602 0.9213 Cd
0.0787 0.3777 0.1398 Cd
0.9213 0.6223 0.8602 Cd
0.5000 0.5000 0.5000 Cd
0.8602 0.9213 0.6223 Cd
0.9937 0.3604 0.8070 Hg
0.1930 0.0063 0.6396 Hg
0.5388 0.9156 0.5970 Hg
0.3604 0.8070 0.9937 Hg
0.0063 0.6396 0.1930 Hg
0.8070 0.9937 0.3604 Hg
0.4612 0.0844 0.4030 Hg
0.0844 0.4030 0.4612 Hg
0.4030 0.4612 0.0844 Hg
0.6396 0.1930 0.0063 Hg
0.9156 0.5970 0.5388 Hg
0.5970 0.5388 0.9156 Hg
0.0000 0.0000 0.0000 In
```

---

No. 9
# Sm3P6Pd20

An optimized crystal structure of Sm3P6Pd20 (GGA-PBE, Alexandria).

Results
- E_tot (eV/atom) = -5.89
- calculated formation energy (eV per atom) = -0.70
- theoretical density (g/cm3) = 9.8

Structure (POSCAR):
```
Sm3P6Pd20
1.0
8.7170 0.0000 0.0000
4.3585 7.5491 0.0000
4.3585 2.5164 7.1174
Pd Sm P
20 3 6
Direct
0.6145 0.6145 0.6145 Pd
0.3855 0.3855 0.3855 Pd
0.3463 0.0000 0.6537 Pd
0.6145 0.1564 0.6145 Pd
0.8436 0.3855 0.3855 Pd
0.0000 0.6537 0.0000 Pd
0.0000 0.3463 0.6537 Pd
0.6537 0.3463 0.0000 Pd
0.6537 0.0000 0.3463 Pd
0.3463 0.6537 0.0000 Pd
0.3463 0.0000 0.0000 Pd
0.0000 0.0000 0.6537 Pd
0.3855 0.8436 0.3855 Pd
0.6145 0.6145 0.1564 Pd
0.6537 0.0000 0.0000 Pd
0.0000 0.0000 0.3463 Pd
0.3855 0.3855 0.8436 Pd
0.0000 0.6537 0.3463 Pd
0.0000 0.3463 0.0000 Pd
0.1564 0.6145 0.6145 Pd
0.0000 0.0000 0.0000 Sm
0.7500 0.7500 0.7500 Sm
0.2500 0.2500 0.2500 Sm
0.2627 0.7373 0.2627 P
0.2627 0.2627 0.7373 P
0.7373 0.2627 0.2627 P
0.7373 0.2627 0.7373 P
0.2627 0.7373 0.7373 P
0.7373 0.7373 0.2627 P
```

---

No. 10
# ScAlIn2

An optimized crystal structure of ScAlIn2 (GGA-PBE, Alexandria).

Results
- E_tot (eV/atom) = -4.05
- calculated formation energy (eV per atom) = -0.16
- theoretical density (g/cm3) = 5.6

Structure (POSCAR):
```
ScAlIn2
1.0
-3.6122 -3.3275 -0.5685
2.0552 -2.0576 -1.0151
0.8436 -1.8480 5.4567
Sc In Al
1 2 1
Direct
0.5000 0.2500 0.2500 Sc
0.0000 0.7521 0.0060 In
0.0000 0.7479 0.4940 In
0.5000 0.7500 0.7500 Al
```

---

- Look up the E_tot of the second one.
  -6.08 eV/atom

---

What did the first record say?
# CeZr3

An optimized crystal structure of CeZr3 (GGA-PBE, Alexandria).

Results
- E_tot (eV/atom) = -7.81
- calculated formation energy (eV per atom) = 0.09
- theoretical density (g/cm3) = 7.1
- offset from the most stable computed form (meV/atom) = 0

Structure (POSCAR):
```
CeZr3
1.0
-1.5550 1.5935 -2.2331
1.7356 -3.4598 -3.6775
-4.6558 -3.2878 0.8959
Zr Ce
3 1
Direct
0.5000 0.0000 0.5376 Zr
0.0000 0.0000 0.0262 Zr
0.5000 0.5000 0.8030 Zr
0.0000 0.5000 0.2998 Ce
```

---

- The lowest E_tot belongs to which entry?
  CeZr3

---

- Look up the theoretical density of the sixth one.
  4.7 g/cm3